[1]
Entry from the Alexandria database: an optimized crystal structure of Li2Si2S (PBE-GGA).

Summary:
- E_form (uncorrected) (eV per atom) = 0.005
- mass density (g/cm3) = 2.04

abc: 6.0524 6.0524 4.5454
angles: 90.00 90.00 90.00
Fractional coordinates of all 10 atoms:
Li (0.1545, 0.3455, 0.0000)
Li (0.3455, 0.8455, 0.0000)
Li (0.6545, 0.1545, 0.0000)
Li (0.8455, 0.6545, 0.0000)
Si (0.1356, 0.6356, 0.5000)
Si (0.3644, 0.1356, 0.5000)
Si (0.6356, 0.8644, 0.5000)
Si (0.8644, 0.3644, 0.5000)
S (0.0000, 0.0000, 0.0000)
S (0.5000, 0.5000, 0.0000)

[2]
Entry from the Alexandria database: an optimized crystal structure of SrAl3Ge (PBE-GGA).

Summary:
- DFT formation energy (eV per formula unit) = 7.54
- mass density (g/cm3) = 2.13

abc: 5.7308 5.7308 5.7308
angles: 90.00 90.00 90.00
Fractional coordinates of all 5 atoms:
Sr (0.0000, 0.0000, 0.0000)
Al (0.0000, 0.0000, 0.5000)
Al (0.0000, 0.5000, 0.0000)
Al (0.5000, 0.0000, 0.0000)
Ge (0.5000, 0.5000, 0.5000)

no.,calculated volume (Å³/f.u.)
1,83.3
2,188.2